First-principles (PBE+U) data for a geometry-optimized LiV2Zn2Si2O10 structure, as listed in Alexandria.

Geometry as POSCAR:
```
LiV2Zn2Si2O10
1.0
5.2504 0.0118 -0.0333
-1.1066 5.4749 -0.0091
-2.0068 -2.7597 6.6134
V Li Si O Zn
2 1 2 10 2
direct
0.5000 0.0000 0.0000
0.0000 0.5000 0.5000
0.0000 0.5000 0.0000
0.0675 0.9161 0.2555
0.9325 0.0839 0.7445
0.6432 0.3083 0.2432
0.3568 0.6917 0.7568
0.1799 0.8624 0.0683
0.7210 0.8117 0.1559
0.8135 0.7872 0.5718
0.8326 0.3130 0.6617
0.1674 0.6870 0.3383
0.1865 0.2128 0.4282
0.8201 0.1376 0.9317
0.2790 0.1883 0.8441
0.4864 0.3724 0.7049
0.5136 0.6276 0.2951
```

spin magnetization: 3.0 μB per formula unit
calculated total energy: -6.791 eV/atom
V: 11.2 Å³ per atom